No. 1
Computed, not measured: a geometry-optimized Ba2LiTiTe structure at the GGA-PBEsol level of DFT.

Results
Total magnetic moment in μB/f.u.: 4.225
DOS(E_F) in states/eV/cell: 5.1
Final energy in eV/atom: -3.36

Lattice parameters (Å, degrees): 6.0700 6.0700 4.9485 90.00 90.00 90.00
Space group P4/mmm (No. 123)
Unique sites:
Ba (0.0000, 0.5000, 0.0000)
Li (0.0000, 0.0000, 0.5000)
Ti (0.0000, 0.0000, 0.0000)
Te (0.5000, 0.5000, 0.5000)

=====

No. 2
Computed, not measured: a geometry-optimized TlV12S16 structure at the GGA-PBEsol level of DFT.

Results
Total magnetic moment in μB/f.u.: 0.000
DOS(E_F) in states/eV/cell: 16.0
Final energy in eV/atom: -7.59

Lattice parameters (Å, degrees): 3.1859 9.0177 15.5954 90.04 90.01 90.01
Space group P-1 (No. 2)
Unique sites:
Tl (0.0000, 0.0000, 0.0000)
V (0.2483, 0.4316, 0.0596)
V (0.2483, 0.6949, 0.1875)
V (0.2490, 0.8717, 0.7526)
V (0.2502, 0.1978, 0.6838)
V (0.2495, 0.3751, 0.2580)
V (0.2499, 0.9291, 0.5588)
S (0.2502, 0.0000, 0.3343)
S (0.2502, 0.1795, 0.5275)
S (0.2497, 0.6185, 0.3282)
S (0.2503, 0.6991, 0.6442)
S (0.2510, 0.4999, 0.8322)
S (0.2532, 0.2011, 0.1486)
S (0.2538, 0.1206, 0.8256)
S (0.2543, 0.6804, 0.0263)

=====

No. 3
Computed, not measured: a geometry-optimized ReAgHg structure at the GGA-PBEsol level of DFT.

Results
Total magnetic moment in μB/f.u.: 0.004
DOS(E_F) in states/eV/cell: 4.2
Final energy in eV/atom: -5.09

Lattice parameters (Å, degrees): 2.7487 2.7487 13.2796 90.00 90.00 90.00
Space group I4mm (No. 107)
Unique sites:
Re (0.0000, 0.0000, 0.0000)
Ag (0.0000, 0.0000, 0.6577)
Hg (0.0000, 0.0000, 0.3311)

=====

Question: Among the records above, which one has the highest DOS(E_F)?
Answer: TlV12S16

=====

Question: Look up the final energy of the second one.
Answer: -7.59 eV/atom

=====

Question: Among the records above, which one has the highest final energy?
Answer: Ba2LiTiTe